Material: BaHg2Sb2
Method: DFT, SCAN
State: PBEsol geometry

Cell: 5.1430 5.1430 11.1942 Å, 90.00 90.00 90.00°
Sites, in units of the cell vectors:
Ba: 0.0000 0.0000 0.0000
Ba: 0.5000 0.5000 0.5000
Hg: 0.0000 0.0000 0.3790
Hg: 0.0000 0.0000 0.6210
Hg: 0.5000 0.5000 0.1210
Hg: 0.5000 0.5000 0.8790
Sb: 0.0000 0.5000 0.2500
Sb: 0.0000 0.5000 0.7500
Sb: 0.5000 0.0000 0.2500
Sb: 0.5000 0.0000 0.7500

Properties
Size of the total moment ... 0.00 Bohr magnetons per cell
Uncorrected formation energy ... -0.49 eV per atom